1.
DFT (PBE) results for crystalline TlFe2Ni at its relaxed geometry.

Total magnetization   1.32 μB/atom
Energy relative to the elements   1.44 eV per formula unit
Energy relative to the lowest polymorph listed for this composition   43 meV/atom
E_tot   -5.908 eV/atom

a = 3.736 Å, b = 3.736 Å, c = 8.137 Å
α = 90.00°, β = 90.00°, γ = 90.00°
Space group I4/mmm (No. 139)
Asymmetric unit:
Tl 0.000 0.000 0.000 x2
Fe 0.000 0.500 0.250 x4
Ni 0.000 0.000 0.500 x2

---

2.
DFT (PBE) results for crystalline Tl2FeNi at its relaxed geometry.

Total magnetization   0.91 μB/atom
Energy relative to the elements   1.43 eV per formula unit
Energy relative to the lowest polymorph listed for this composition   0 meV/atom
E_tot   -4.387 eV/atom

a = 3.156 Å, b = 3.156 Å, c = 8.153 Å
α = 90.00°, β = 90.00°, γ = 90.00°
Space group P4mm (No. 99)
Asymmetric unit:
Tl 0.000 0.000 0.000 x1
Tl 0.500 0.500 0.372 x1
Fe 0.000 0.000 0.626 x1
Ni 0.500 0.500 0.748 x1

---

3.
DFT (PBE) results for crystalline TlFeNi2 at its relaxed geometry.

Total magnetization   0.97 μB/atom
Energy relative to the elements   0.88 eV per formula unit
Energy relative to the lowest polymorph listed for this composition   0 meV/atom
E_tot   -5.377 eV/atom

a = 3.055 Å, b = 3.055 Å, c = 6.164 Å
α = 90.00°, β = 90.00°, γ = 90.00°
Space group P4/mmm (No. 123)
Asymmetric unit:
Tl 0.000 0.000 0.000 x1
Fe 0.000 0.000 0.500 x1
Ni 0.500 0.500 0.298 x2

---

4.
DFT (PBE) results for crystalline Tl2FeNi at its relaxed geometry.

Total magnetization   0.75 μB/atom
Energy relative to the elements   2.52 eV per formula unit
Energy relative to the lowest polymorph listed for this composition   272 meV/atom
E_tot   -4.115 eV/atom

a = 3.232 Å, b = 5.399 Å, c = 8.746 Å
α = 90.00°, β = 90.00°, γ = 90.00°
Space group Immm (No. 71)
Asymmetric unit:
Tl 0.000 0.000 0.240 x4
Fe 0.000 0.500 0.000 x2
Ni 0.000 0.500 0.500 x2